one:
# LaYIn3 | Alexandria via LeMat-Bulk | PBE-GGA | optimized geometry
# Calculated volume ... 196 Å³/cell
data_LaYIn3
_chemical_formula_sum 'La1 Y1 In3'
_cell_length_a 5.8090
_cell_length_b 5.8090
_cell_length_c 5.8090
_cell_angle_alpha 90.00
_cell_angle_beta 90.00
_cell_angle_gamma 90.00
_symmetry_space_group_name_H-M 'P 1'
_symmetry_Int_Tables_number 1
loop_
_symmetry_equiv_pos_as_xyz
'x,y,z'
loop_
_atom_site_label
_atom_site_fract_x
_atom_site_fract_y
_atom_site_fract_z
In1 0.0000 0.0000 0.5000
In2 0.0000 0.5000 0.0000
In3 0.5000 0.0000 0.0000
La1 0.0000 0.0000 0.0000
Y1 0.5000 0.5000 0.5000

two:
# LaYIn3 | Alexandria via LeMat-Bulk | PBE-GGA | optimized geometry
# Calculated volume ... 179 Å³/cell
data_LaYIn3
_chemical_formula_sum 'La1 Y1 In3'
_cell_length_a 5.6319
_cell_length_b 5.6319
_cell_length_c 5.6319
_cell_angle_alpha 90.00
_cell_angle_beta 90.00
_cell_angle_gamma 90.00
_symmetry_space_group_name_H-M 'P 1'
_symmetry_Int_Tables_number 1
loop_
_symmetry_equiv_pos_as_xyz
'x,y,z'
loop_
_atom_site_label
_atom_site_fract_x
_atom_site_fract_y
_atom_site_fract_z
In1 0.0000 0.5000 0.0000
In2 0.5000 0.0000 0.0000
In3 0.0000 0.0000 0.5000
Y1 0.0000 0.0000 0.0000
La1 0.5000 0.5000 0.5000

three:
# LaYIn3 | Alexandria via LeMat-Bulk | PBE-GGA | optimized geometry
# Calculated volume ... 281 Å³/cell
data_LaYIn3
_chemical_formula_sum 'La2 Y2 In6'
_cell_length_a 4.9493
_cell_length_b 3.8106
_cell_length_c 14.9982
_cell_angle_alpha 97.30
_cell_angle_beta 90.00
_cell_angle_gamma 90.00
_symmetry_space_group_name_H-M 'P 1'
_symmetry_Int_Tables_number 1
loop_
_symmetry_equiv_pos_as_xyz
'x,y,z'
loop_
_atom_site_label
_atom_site_fract_x
_atom_site_fract_y
_atom_site_fract_z
In1 0.2500 0.3768 0.7535
In2 0.2500 0.4751 0.9502
In3 0.7500 0.5249 0.0498
In4 0.2500 0.6807 0.3614
In5 0.7500 0.3193 0.6386
In6 0.7500 0.6232 0.2465
La1 0.7500 0.9252 0.8505
La2 0.2500 0.0748 0.1495
Y1 0.2500 0.7877 0.5753
Y2 0.7500 0.2123 0.4247

Which of them is least stable? Easy: one.

one:
# La2YIn2 | Alexandria via LeMat-Bulk | PBE-GGA | optimized geometry
# Calculated volume ... 314 Å³/cell
data_La2YIn2
_chemical_formula_sum 'La4 Y2 In4'
_cell_length_a 9.3803
_cell_length_b 9.3803
_cell_length_c 3.5668
_cell_angle_alpha 90.00
_cell_angle_beta 90.00
_cell_angle_gamma 90.00
_symmetry_space_group_name_H-M 'P 1'
_symmetry_Int_Tables_number 1
loop_
_symmetry_equiv_pos_as_xyz
'x,y,z'
loop_
_atom_site_label
_atom_site_fract_x
_atom_site_fract_y
_atom_site_fract_z
La1 0.3836 0.8836 0.0000
La2 0.8836 0.6164 0.0000
La3 0.1164 0.3836 0.0000
La4 0.6164 0.1164 0.0000
In1 0.6793 0.8207 0.5000
In2 0.3207 0.1793 0.5000
In3 0.8207 0.3207 0.5000
In4 0.1793 0.6793 0.5000
Y1 0.5000 0.5000 0.0000
Y2 0.0000 0.0000 0.0000

two:
# La2YIn2 | Alexandria via LeMat-Bulk | PBE-GGA | optimized geometry
# Calculated volume ... 326 Å³/cell
data_La2YIn2
_chemical_formula_sum 'La4 Y2 In4'
_cell_length_a 8.2670
_cell_length_b 8.2670
_cell_length_c 4.7745
_cell_angle_alpha 90.00
_cell_angle_beta 90.00
_cell_angle_gamma 90.00
_symmetry_space_group_name_H-M 'P 1'
_symmetry_Int_Tables_number 1
loop_
_symmetry_equiv_pos_as_xyz
'x,y,z'
loop_
_atom_site_label
_atom_site_fract_x
_atom_site_fract_y
_atom_site_fract_z
In1 0.8729 0.6271 0.0000
In2 0.3729 0.8729 0.0000
In3 0.6271 0.1271 0.0000
In4 0.1271 0.3729 0.0000
La1 0.1709 0.6709 0.5000
La2 0.3291 0.1709 0.5000
La3 0.6709 0.8291 0.5000
La4 0.8291 0.3291 0.5000
Y1 0.5000 0.5000 0.0000
Y2 0.0000 0.0000 0.0000

three:
# La2YIn2 | Alexandria via LeMat-Bulk | PBE-GGA | optimized geometry
# Calculated volume ... 157 Å³/cell
data_La2YIn2
_chemical_formula_sum 'La2 Y1 In2'
_cell_length_a 5.1365
_cell_length_b 6.1380
_cell_length_c 6.1380
_cell_angle_alpha 71.56
_cell_angle_beta 65.27
_cell_angle_gamma 65.27
_symmetry_space_group_name_H-M 'P 1'
_symmetry_Int_Tables_number 1
loop_
_symmetry_equiv_pos_as_xyz
'x,y,z'
loop_
_atom_site_label
_atom_site_fract_x
_atom_site_fract_y
_atom_site_fract_z
In1 0.5000 0.7148 0.2852
In2 0.5000 0.2852 0.7148
Y1 0.0000 0.0000 0.0000
La1 0.8128 0.6872 0.6872
La2 0.1872 0.3128 0.3128

Which of them is least stable? Easy: one.

one:
# La3Zn2In | Alexandria via LeMat-Bulk | PBE-GGA | optimized geometry
# Calculated volume ... 169 Å³/cell
data_La3Zn2In
_chemical_formula_sum 'La3 Zn2 In1'
_cell_length_a 3.8190
_cell_length_b 5.4346
_cell_length_c 8.5740
_cell_angle_alpha 108.48
_cell_angle_beta 90.00
_cell_angle_gamma 90.00
_symmetry_space_group_name_H-M 'P 1'
_symmetry_Int_Tables_number 1
loop_
_symmetry_equiv_pos_as_xyz
'x,y,z'
loop_
_atom_site_label
_atom_site_fract_x
_atom_site_fract_y
_atom_site_fract_z
La1 0.5000 0.1745 0.3490
La2 0.5000 0.5000 0.0000
La3 0.5000 0.8255 0.6510
In1 0.0000 0.0000 0.0000
Zn1 0.0000 0.3356 0.6712
Zn2 0.0000 0.6644 0.3288

two:
# La3Zn2In | Alexandria via LeMat-Bulk | PBE-GGA | optimized geometry
# Calculated volume ... 168 Å³/cell
data_La3Zn2In
_chemical_formula_sum 'La3 Zn2 In1'
_cell_length_a 3.7744
_cell_length_b 3.7744
_cell_length_c 11.8010
_cell_angle_alpha 90.00
_cell_angle_beta 90.00
_cell_angle_gamma 90.00
_symmetry_space_group_name_H-M 'P 1'
_symmetry_Int_Tables_number 1
loop_
_symmetry_equiv_pos_as_xyz
'x,y,z'
loop_
_atom_site_label
_atom_site_fract_x
_atom_site_fract_y
_atom_site_fract_z
La1 0.0000 0.0000 0.0000
La2 0.0000 0.0000 0.6840
La3 0.0000 0.0000 0.3160
In1 0.5000 0.5000 0.5000
Zn1 0.5000 0.5000 0.8450
Zn2 0.5000 0.5000 0.1550

Which of them is least stable? Easy: one.

one:
# LaZnIn3 | Alexandria via LeMat-Bulk | PBE-GGA | optimized geometry
# Calculated volume ... 127 Å³/cell
data_LaZnIn3
_chemical_formula_sum 'La1 Zn1 In3'
_cell_length_a 4.6690
_cell_length_b 4.6648
_cell_length_c 6.7146
_cell_angle_alpha 69.65
_cell_angle_beta 69.63
_cell_angle_gamma 89.95
_symmetry_space_group_name_H-M 'P 1'
_symmetry_Int_Tables_number 1
loop_
_symmetry_equiv_pos_as_xyz
'x,y,z'
loop_
_atom_site_label
_atom_site_fract_x
_atom_site_fract_y
_atom_site_fract_z
In1 0.6384 0.9497 0.4198
In2 0.1461 0.4417 0.4194
In3 0.8043 0.6083 0.1067
Zn1 0.0129 0.8157 0.6675
La1 0.4061 0.2099 0.8977

two:
# LaZnIn3 | Alexandria via LeMat-Bulk | PBE-GGA | optimized geometry
# Calculated volume ... 141 Å³/cell
data_LaZnIn3
_chemical_formula_sum 'La1 Zn1 In3'
_cell_length_a 5.1994
_cell_length_b 5.1994
_cell_length_c 5.1994
_cell_angle_alpha 90.00
_cell_angle_beta 90.00
_cell_angle_gamma 90.00
_symmetry_space_group_name_H-M 'P 1'
_symmetry_Int_Tables_number 1
loop_
_symmetry_equiv_pos_as_xyz
'x,y,z'
loop_
_atom_site_label
_atom_site_fract_x
_atom_site_fract_y
_atom_site_fract_z
In1 0.0000 0.0000 0.5000
In2 0.0000 0.5000 0.0000
In3 0.5000 0.0000 0.0000
Zn1 0.0000 0.0000 0.0000
La1 0.5000 0.5000 0.5000

three:
# LaZnIn3 | Alexandria via LeMat-Bulk | PBE-GGA | optimized geometry
# Calculated volume ... 244 Å³/cell
data_LaZnIn3
_chemical_formula_sum 'La1 Zn1 In3'
_cell_length_a 6.2467
_cell_length_b 6.2467
_cell_length_c 6.2467
_cell_angle_alpha 90.00
_cell_angle_beta 90.00
_cell_angle_gamma 90.00
_symmetry_space_group_name_H-M 'P 1'
_symmetry_Int_Tables_number 1
loop_
_symmetry_equiv_pos_as_xyz
'x,y,z'
loop_
_atom_site_label
_atom_site_fract_x
_atom_site_fract_y
_atom_site_fract_z
In1 0.0000 0.0000 0.5000
In2 0.0000 0.5000 0.0000
In3 0.5000 0.0000 0.0000
Zn1 0.5000 0.5000 0.5000
La1 0.0000 0.0000 0.0000

Which of them is least stable? Easy: three.

one:
# La6ZnIn3 | Alexandria via LeMat-Bulk | PBE-GGA | optimized geometry
# Calculated volume ... 618 Å³/cell
data_La6ZnIn3
_chemical_formula_sum 'La12 Zn2 In6'
_cell_length_a 5.4795
_cell_length_b 9.7090
_cell_length_c 12.1557
_cell_angle_alpha 107.19
_cell_angle_beta 90.00
_cell_angle_gamma 90.00
_symmetry_space_group_name_H-M 'P 1'
_symmetry_Int_Tables_number 1
loop_
_symmetry_equiv_pos_as_xyz
'x,y,z'
loop_
_atom_site_label
_atom_site_fract_x
_atom_site_fract_y
_atom_site_fract_z
La1 0.2500 0.8564 0.3200
La2 0.2500 0.2396 0.4944
La3 0.2500 0.0860 0.8761
La4 0.7500 0.5322 0.9140
La5 0.2500 0.6640 0.6724
La6 0.7500 0.7604 0.5056
La7 0.7500 0.1436 0.6800
La8 0.7500 0.8752 0.8542
La9 0.2500 0.1248 0.1458
La10 0.7500 0.9140 0.1239
La11 0.7500 0.3360 0.3276
La12 0.2500 0.4678 0.0860
Zn1 0.7500 0.0395 0.3992
Zn2 0.2500 0.9605 0.6008
In1 0.7500 0.4639 0.6217
In2 0.2500 0.7673 0.9726
In3 0.2500 0.3724 0.7767
In4 0.2500 0.5361 0.3783
In5 0.7500 0.6276 0.2233
In6 0.7500 0.2327 0.0274

two:
# La6ZnIn3 | Alexandria via LeMat-Bulk | PBE-GGA | optimized geometry
# Calculated volume ... 646 Å³/cell
data_La6ZnIn3
_chemical_formula_sum 'La12 Zn2 In6'
_cell_length_a 5.5623
_cell_length_b 9.6347
_cell_length_c 12.0617
_cell_angle_alpha 90.00
_cell_angle_beta 90.00
_cell_angle_gamma 90.00
_symmetry_space_group_name_H-M 'P 1'
_symmetry_Int_Tables_number 1
loop_
_symmetry_equiv_pos_as_xyz
'x,y,z'
loop_
_atom_site_label
_atom_site_fract_x
_atom_site_fract_y
_atom_site_fract_z
Zn1 0.5000 0.5000 0.5000
Zn2 0.0000 0.0000 0.0000
La1 0.5000 0.1744 0.5707
La2 0.5000 0.4974 0.2576
La3 0.5000 0.5026 0.7424
La4 0.0000 0.6744 0.9293
La5 0.0000 0.3256 0.0707
La6 0.0000 0.9974 0.2424
La7 0.5000 0.8256 0.4293
La8 0.5000 0.1588 0.9305
La9 0.0000 0.3413 0.4305
La10 0.5000 0.8412 0.0695
La11 0.0000 0.0026 0.7576
La12 0.0000 0.6587 0.5695
In1 0.5000 0.5000 0.0000
In2 0.5000 0.8358 0.7491
In3 0.0000 0.6642 0.2491
In4 0.0000 0.3358 0.7509
In5 0.0000 0.0000 0.5000
In6 0.5000 0.1642 0.2509

Which of them is least stable? Easy: two.